Below is a relaxed structure of Dy3ZnS6, with properties calculated at the PBE level.

Results
space group = Cmc2_1 (36)
E_form (uncorrected) = -16.14 eV per formula unit
total energy = -0.206 Ha/atom

Lattice parameters (Å, degrees): 8.6259 8.6259 6.3054 90.00 90.00 102.52
Atoms (fractional coordinates):
Dy1 0.1106 0.8894 0.5000
Dy2 0.2163 0.4257 0.4229
Dy3 0.4257 0.2163 0.9229
Dy4 0.5743 0.7837 0.4229
Dy5 0.7837 0.5743 0.9229
Dy6 0.8894 0.1106 0.0000
Zn1 0.3021 0.6979 0.8765
Zn2 0.6979 0.3021 0.3765
S1 0.0635 0.5950 0.6979
S2 0.1407 0.1818 0.7111
S3 0.1818 0.1407 0.2112
S4 0.2787 0.7213 0.2378
S5 0.4050 0.9365 0.6979
S6 0.4647 0.5353 0.7280
S7 0.5353 0.4647 0.2280
S8 0.5950 0.0635 0.1979
S9 0.7213 0.2787 0.7378
S10 0.8182 0.8593 0.7111
S11 0.8593 0.8182 0.2112
S12 0.9365 0.4050 0.1979



Below is a relaxed structure of NaAl2Au2, with properties calculated at the PBE level.

Results
space group = P-1 (2)
distance to the lowest polymorph of the same formula = 0.0600 eV per atom
energy of formation = -0.311 eV per atom
total energy = -0.124 Ha/atom

Lattice parameters (Å, degrees): 5.4229 5.4350 8.6852 71.94 81.18 60.45
Atoms (fractional coordinates):
Na1 0.2500 0.1238 0.2522
Na2 0.7500 0.8762 0.7478
Al1 0.2494 0.7519 0.9990
Al2 0.2498 0.4986 0.4997
Al3 0.7502 0.5014 0.5003
Al4 0.7506 0.2481 0.0010
Au1 0.0860 0.2078 0.7508
Au2 0.4131 0.5416 0.7509
Au3 0.5869 0.4584 0.2491
Au4 0.9140 0.7922 0.2492



Below is a relaxed structure of CdCuOs, with properties calculated at the PBE level.

Results
space group = P3m1 (156)
distance to the lowest polymorph of the same formula = 0.0000 eV per atom
energy of formation = 0.425 eV per atom
total energy = -0.183 Ha/atom

Lattice parameters (Å, degrees): 2.7908 2.7908 6.8430 90.00 90.00 120.00
Atoms (fractional coordinates):
Cd1 0.0000 0.0000 0.0000
Cu1 0.6667 0.3333 0.3377
Os1 0.3333 0.6667 0.6407



Below is a relaxed structure of Tb4Nd2ErMg, with properties calculated at the PBE level.

Results
space group = Pmmm (47)
energy of formation = 0.026 eV per atom
total energy = -0.156 Ha/atom

Lattice parameters (Å, degrees): 4.9868 4.9990 10.1393 90.00 90.00 90.00
Atoms (fractional coordinates):
Tb1 0.0000 0.0000 0.2495
Tb2 0.0000 0.0000 0.7505
Tb3 0.5000 0.5000 0.2497
Tb4 0.5000 0.5000 0.7503
Nd1 0.0000 0.5000 0.0000
Nd2 0.5000 0.0000 0.5000
Er1 0.0000 0.5000 0.5000
Mg1 0.5000 0.0000 0.0000



Below is a relaxed structure of Tm8NiHg2, with properties calculated at the PBE level.

Results
space group = C2/m (12)
energy of formation = -0.231 eV per atom
total energy = -0.149 Ha/atom

Lattice parameters (Å, degrees): 9.0598 9.0598 6.7067 105.67 105.67 33.12
Atoms (fractional coordinates):
Tm1 0.0235 0.0235 0.2820
Tm2 0.2016 0.2016 0.8045
Tm3 0.3488 0.3488 0.5399
Tm4 0.4116 0.4116 0.0696
Tm5 0.5884 0.5884 0.9304
Tm6 0.6512 0.6512 0.4601
Tm7 0.7984 0.7984 0.1955
Tm8 0.9765 0.9765 0.7180
Ni1 0.5000 0.5000 0.5000
Hg1 0.1879 0.1879 0.2272
Hg2 0.8121 0.8121 0.7728



Below is a relaxed structure of Tm2CdIn3, with properties calculated at the PBE level.

Results
space group = Fmmm (69)
energy of formation = -0.353 eV per atom
total energy = -0.124 Ha/atom

Lattice parameters (Å, degrees): 9.9260 9.2698 6.0444 77.67 65.83 36.50
Atoms (fractional coordinates):
Tm1 0.2500 0.2500 0.2500
Tm2 0.2502 0.7498 0.7498
Tm3 0.7498 0.2502 0.2502
Tm4 0.7500 0.7500 0.7500
Cd1 0.1667 0.1667 0.8333
Cd2 0.8333 0.8333 0.1667
In1 0.1640 0.6678 0.3322
In2 0.3315 0.3315 0.6685
In3 0.3322 0.8360 0.1640
In4 0.6678 0.1640 0.8360
In5 0.6685 0.6685 0.3315
In6 0.8360 0.3322 0.6678



Below is a relaxed structure of CaAu3, with properties calculated at the PBE level.

Results
space group = P-6m2 (187)
energy of formation = -0.375 eV per atom
total energy = -0.123 Ha/atom

Lattice parameters (Å, degrees): 4.4831 4.4831 5.7915 90.00 90.00 120.00
Atoms (fractional coordinates):
Ca1 0.0000 0.0000 0.0000
Au1 0.0000 0.0000 0.5000
Au2 0.3333 0.6667 0.2572
Au3 0.3333 0.6667 0.7428



Below is a relaxed structure of FeHgAu2, with properties calculated at the PBE level.

Results
space group = R3m (160)
energy of formation = 0.240 eV per atom
total energy = -0.132 Ha/atom

Lattice parameters (Å, degrees): 9.4230 9.4230 9.4230 18.22 18.22 18.22
Atoms (fractional coordinates):
Fe1 0.0000 0.0000 0.0000
Hg1 0.2522 0.2522 0.2522
Au1 0.4944 0.4944 0.4944
Au2 0.7408 0.7408 0.7408



Below is a relaxed structure of In2SnAu, with properties calculated at the PBE level.

Results
space group = I-42d (122)
energy of formation = -0.003 eV per atom
total energy = -0.117 Ha/atom

Lattice parameters (Å, degrees): 11.1324 11.1324 11.1324 157.55 157.55 31.95
Atoms (fractional coordinates):
In1 0.1157 0.6250 0.9907
In2 0.3750 0.3657 0.4907
In3 0.6343 0.1250 0.0093
In4 0.8750 0.8843 0.5093
Sn1 0.2500 0.7500 0.5000
Sn2 0.5000 0.5000 0.0000
Au1 0.0000 0.0000 0.0000
Au2 0.7500 0.2500 0.5000



Below is a relaxed structure of KLi2As, with properties calculated at the PBE level.

Results
space group = Fmmm (69)
energy of formation = -0.180 eV per atom
total energy = -0.095 Ha/atom

Lattice parameters (Å, degrees): 5.3524 5.0066 4.9963 64.70 57.74 57.56
Atoms (fractional coordinates):
K1 0.0000 0.0000 0.0000
Li1 0.0000 0.5000 0.5000
Li2 0.5000 0.0000 0.0000
As1 0.5000 0.5000 0.5000



Below is a relaxed structure of La2SnGe3Pd4, with properties calculated at the PBE level.

Results
space group = P-4m2 (115)
energy of formation = -0.839 eV per atom
total energy = -0.209 Ha/atom

Lattice parameters (Å, degrees): 4.4279 4.4279 10.5161 90.00 90.00 90.00
Atoms (fractional coordinates):
La1 0.0000 0.5000 0.2400
La2 0.5000 0.0000 0.7600
Sn1 0.0000 0.0000 0.5000
Ge1 0.0000 0.5000 0.8771
Ge2 0.5000 0.0000 0.1229
Ge3 0.5000 0.5000 0.5000
Pd1 0.0000 0.0000 0.0000
Pd2 0.0000 0.5000 0.6418
Pd3 0.5000 0.0000 0.3582
Pd4 0.5000 0.5000 0.0000



Below is a relaxed structure of ScCr2, with properties calculated at the PBE level.

Results
space group = Pa-3 (205)
energy of formation = 1.541 eV per atom
total energy = -0.257 Ha/atom

Lattice parameters (Å, degrees): 6.3210 6.3210 6.3210 90.00 90.00 90.00
Atoms (fractional coordinates):
Sc1 0.0000 0.0000 0.0000
Sc2 0.0000 0.5000 0.5000
Sc3 0.5000 0.0000 0.5000
Sc4 0.5000 0.5000 0.0000
Cr1 0.1239 0.6239 0.8761
Cr2 0.1239 0.8761 0.3761
Cr3 0.3761 0.1239 0.8761
Cr4 0.3761 0.3761 0.3761
Cr5 0.6239 0.6239 0.6239
Cr6 0.6239 0.8761 0.1239
Cr7 0.8761 0.1239 0.6239
Cr8 0.8761 0.3761 0.1239



What is the formula in the fourth record?
Tb4Nd2ErMg